*a*
Entry from Alexandria via LeMat-Bulk: Pm8Pr6Sm after structural relaxation (GGA-PBE).

abc: 9.4704 9.4704 20.5493
angles: 90.00 90.00 120.00
Space group R-3 (No. 148, hexagonal axes)
Asymmetric unit:
Pm1 0.0000 0.0000 0.0712
Pm2 0.0697 0.2460 0.6610
Pr1 0.0470 0.2474 0.1923
Sm1 0.0000 0.0000 0.5000


*b*
Entry from Alexandria via LeMat-Bulk: Pm8Pr6Sm after structural relaxation (GGA-PBE).

abc: 9.6186 9.6186 6.7143
angles: 90.00 90.00 120.00
Space group P-3 (No. 147)
Asymmetric unit:
Pm1 0.0286 0.7480 0.1633
Pm2 0.3333 0.6667 0.1108
Pr1 0.0839 0.6510 0.6623
Sm1 0.0000 0.0000 0.5000


Most stable structure, least stable structure: *a*, *b*.


*a*
Entry from Alexandria via LeMat-Bulk: PmPr5Sm5 after structural relaxation (GGA-PBE).

abc: 19.268 6.152 7.111
angles: 90.00 111.55 90.00
Space group C2/m (No. 12)
Asymmetric unit:
Pm1 0.000 0.000 0.000
Pr1 0.000 0.500 0.000
Pr2 0.175 0.000 0.419
Pr3 0.175 0.000 0.931
Sm1 0.000 0.000 0.500
Sm2 0.125 0.500 0.626
Sm3 0.170 0.500 0.171


*b*
Entry from Alexandria via LeMat-Bulk: PmPr5Sm5 after structural relaxation (GGA-PBE).

abc: 7.074 7.078 8.818
angles: 75.35 74.82 69.76
Space group P-1 (No. 2)
Asymmetric unit:
Pm1 0.000 0.000 0.000
Pr1 0.148 0.146 0.362
Pr2 0.234 0.642 0.267
Pr3 0.500 0.000 0.000
Sm1 0.000 0.500 0.000
Sm2 0.312 0.318 0.638
Sm3 0.349 0.778 0.724


Most stable structure, least stable structure: *b*, *a*.